(1)
# PmPaSe3

Crystalline PmPaSe3 at its relaxed geometry (PBE, Alexandria via LeMat-Bulk).

```
PmPaSe3
1.0
1.983 -6.769 0.000
1.983 6.769 0.000
0.000 0.000 10.198
Pm Pa Se
2 2 6
Cartesian
1.983 3.465 7.649
1.983 -3.465 2.550
0.000 0.000 0.000
0.000 0.000 5.099
1.983 5.509 2.550
1.983 1.953 0.737
1.983 1.953 4.362
1.983 -1.953 5.836
1.983 -1.953 9.461
1.983 -5.509 7.649
```

## Properties
Excess energy over the best structure of this formula in the dataset: 29 kJ/mol of formula units

=====

(2)
# Zn4WBr

Crystalline Zn4WBr at its relaxed geometry (PBE, Alexandria via LeMat-Bulk).

```
Zn4WBr
1.0
0.000 3.646 3.646
3.646 0.000 3.646
3.646 3.646 0.000
Zn W Br
4 1 1
Cartesian
0.893 0.893 0.893
2.753 2.753 0.893
2.753 0.893 2.753
0.893 2.753 2.753
5.469 5.469 5.469
3.646 3.646 3.646
```

=====

Number 1: raw formation energy -1545.5 meV/atom, magnetization 1.39 μB/f.u.. Number 2: raw formation energy 626.8 meV/atom, magnetization 0.00 μB/f.u..